A relaxed NaPaTaO6 crystal, computed with GGA-PBE.

- Formation energy (no corrections): -24.21 eV per formula unit
- VASP energy: -8.514 eV/atom
- Calculated density: 7.1 g/cm3
- Space group: P312, No. 149

Structure (CIF):
```
data_NaPaTaO6
_cell_length_a 4.819
_cell_length_b 5.474
_cell_length_c 5.474
_cell_angle_alpha 120.00
_cell_angle_beta 90.00
_cell_angle_gamma 90.00
_symmetry_space_group_name_H-M 'P 1'
_symmetry_Int_Tables_number 1
loop_
_symmetry_equiv_pos_as_xyz
'x,y,z'
loop_
_atom_site_label
_atom_site_type_symbol
_atom_site_fract_x
_atom_site_fract_y
_atom_site_fract_z
_atom_site_occupancy
Pa1 Pa 0.000 0.333 0.667 1
O1 O 0.263 0.036 0.719 1
O2 O 0.263 0.683 0.964 1
O3 O 0.737 0.036 0.317 1
O4 O 0.737 0.281 0.964 1
O5 O 0.263 0.281 0.317 1
O6 O 0.737 0.683 0.719 1
Na1 Na 0.500 0.667 0.333 1
Ta1 Ta 0.500 0.000 0.000 1
```